1.
The following is a DFT calculation (GGA-PBE) of a relaxed structure of RbAcSCl.

Computed properties:
- N(E_F) (states/eV per cell) = 7.9
- theoretical density (g cm⁻³) = 4.82
- energy relative to the elements, uncorrected (eV per atom) = -1.679

CIF file:
```
data_RbAcSCl
_cell_length_a 4.2778
_cell_length_b 4.2778
_cell_length_c 24.8008
_cell_angle_alpha 90.00
_cell_angle_beta 90.00
_cell_angle_gamma 120.00
_symmetry_space_group_name_H-M 'R 3 m'
_symmetry_Int_Tables_number 160
_symmetry_space_group_name_Hall 'R 3 -2"'
loop_
_atom_site_label
_atom_site_type_symbol
_atom_site_fract_x
_atom_site_fract_y
_atom_site_fract_z
_atom_site_occupancy
Rb1 Rb 0.0000 0.0000 0.0000 1
Ac1 Ac 0.0000 0.0000 0.1819 1
S1 S 0.0000 0.0000 0.5821 1
Cl1 Cl 0.0000 0.0000 0.7680 1
```

2.
The following is a DFT calculation (GGA-PBE) of a relaxed structure of RbAcSnCl6.

Computed properties:
- N(E_F) (states/eV per cell) = 0.0
- theoretical density (g cm⁻³) = 3.15
- energy relative to the elements, uncorrected (eV per atom) = -1.840

CIF file:
```
data_RbAcSnCl6
_cell_length_a 7.033
_cell_length_b 7.033
_cell_length_c 13.723
_cell_angle_alpha 90.00
_cell_angle_beta 90.00
_cell_angle_gamma 90.00
_symmetry_space_group_name_H-M 'P 42 n m'
_symmetry_Int_Tables_number 102
_symmetry_space_group_name_Hall 'P 4n -2n'
loop_
_atom_site_label
_atom_site_type_symbol
_atom_site_fract_x
_atom_site_fract_y
_atom_site_fract_z
_atom_site_occupancy
Rb1 Rb 0.000 0.000 0.000 1
Ac1 Ac 0.000 0.000 0.334 1
Sn1 Sn 0.000 0.000 0.668 1
Cl1 Cl 0.176 0.176 0.504 1
Cl2 Cl 0.210 0.210 0.188 1
Cl3 Cl 0.210 0.210 0.816 1
```